VASP calculation (PBE) on an optimized crystal structure of LaDy6Co2.

a = 8.5639 Å, b = 8.5639 Å, c = 8.5639 Å
α = 113.18°, β = 108.94°, γ = 106.37°
Fractional coordinates of all 18 atoms:
1 La 0.0000 0.0000 0.0000
2 La 0.5000 0.0000 0.5000
3 Dy 0.0091 0.2303 0.7789
4 Dy 0.1924 0.4898 0.2974
5 Dy 0.1924 0.8951 0.7026
6 Dy 0.3064 0.3042 0.6107
7 Dy 0.3064 0.6958 0.0022
8 Dy 0.4514 0.2303 0.2211
9 Dy 0.5486 0.7697 0.7789
10 Dy 0.6936 0.3042 0.9978
11 Dy 0.6936 0.6958 0.3893
12 Dy 0.8076 0.1049 0.2974
13 Dy 0.8076 0.5102 0.7026
14 Dy 0.9909 0.7697 0.2211
15 Co 0.1110 0.5000 0.6110
16 Co 0.3844 0.3844 0.0000
17 Co 0.6156 0.6156 0.0000
18 Co 0.8890 0.5000 0.3890

## Properties
DFT total energy ... -5.23 eV per atom
N(E_F) ... 21.858 states/eV per cell
Volume ... 26.76 Å³ per atom
Formation energy ... -0.0363 eV per atom

***

VASP calculation (PBE) on an optimized crystal structure of LaDyCo.

a = 6.9827 Å, b = 6.9827 Å, c = 6.9827 Å
α = 151.54°, β = 151.54°, γ = 40.69°
Fractional coordinates of all 3 atoms:
1 La 0.0000 0.0000 0.0000
2 Dy 0.2512 0.2512 0.0000
3 Co 0.6345 0.6345 0.0000

## Properties
DFT total energy ... -5.59 eV per atom
N(E_F) ... 3.103 states/eV per cell
ΔE to the lowest computed polymorph ... 98.5 meV per atom
Volume ... 25.73 Å³ per atom
Formation energy ... -0.0472 eV per atom

***

VASP calculation (PBE) on an optimized crystal structure of LaDyCo.

a = 4.7938 Å, b = 4.7938 Å, c = 4.7938 Å
α = 60.00°, β = 60.00°, γ = 60.00°
Fractional coordinates of all 3 atoms:
1 La 0.0000 0.0000 0.0000
2 Dy 0.5000 0.5000 0.5000
3 Co 0.7500 0.7500 0.7500

## Properties
DFT total energy ... -5.55 eV per atom
N(E_F) ... 2.822 states/eV per cell
ΔE to the lowest computed polymorph ... 137.1 meV per atom
Volume ... 25.97 Å³ per atom
Formation energy ... -0.0086 eV per atom

***

VASP calculation (PBE) on an optimized crystal structure of La8DyCo2.

a = 7.5813 Å, b = 7.5813 Å, c = 7.3687 Å
α = 106.16°, β = 106.16°, γ = 68.87°
Fractional coordinates of all 11 atoms:
1 La 0.0868 0.6928 0.6888
2 La 0.1821 0.1821 0.8260
3 La 0.3072 0.9132 0.3112
4 La 0.3710 0.3710 0.3231
5 La 0.6290 0.6290 0.6769
6 La 0.6928 0.0868 0.6888
7 La 0.8179 0.8179 0.1740
8 La 0.9132 0.3072 0.3112
9 Dy 0.5000 0.5000 0.0000
10 Co 0.3136 0.3136 0.6204
11 Co 0.6864 0.6864 0.3796

## Properties
DFT total energy ... -5.27 eV per atom
N(E_F) ... 12.381 states/eV per cell
Volume ... 33.81 Å³ per atom
Formation energy ... 0.0230 eV per atom

***

VASP calculation (PBE) on an optimized crystal structure of LaDyCo4.

a = 3.8874 Å, b = 4.1631 Å, c = 6.7641 Å
α = 90.00°, β = 90.00°, γ = 90.00°
Fractional coordinates of all 6 atoms:
1 La 0.0000 0.0000 0.0000
2 Dy 0.5000 0.0000 0.5000
3 Co 0.0000 0.5000 0.3369
4 Co 0.0000 0.5000 0.6631
5 Co 0.5000 0.5000 0.1700
6 Co 0.5000 0.5000 0.8300

## Properties
DFT total energy ... -6.48 eV per atom
N(E_F) ... 5.099 states/eV per cell
ΔE to the lowest computed polymorph ... 0.0 meV per atom
Volume ... 18.24 Å³ per atom
Formation energy ... -0.1566 eV per atom

***

VASP calculation (PBE) on an optimized crystal structure of LaDyCo4.

a = 5.1302 Å, b = 5.1302 Å, c = 5.1302 Å
α = 60.00°, β = 60.00°, γ = 60.00°
Fractional coordinates of all 6 atoms:
1 La 0.0000 0.0000 0.0000
2 Dy 0.7500 0.7500 0.7500
3 Co 0.3756 0.3756 0.3756
4 Co 0.3756 0.3756 0.8733
5 Co 0.3756 0.8733 0.3756
6 Co 0.8733 0.3756 0.3756

## Properties
DFT total energy ... -6.42 eV per atom
N(E_F) ... 10.134 states/eV per cell
ΔE to the lowest computed polymorph ... 57.4 meV per atom
Volume ... 15.91 Å³ per atom
Formation energy ... -0.0991 eV per atom